Crystalline GaBi at its relaxed geometry, computed with PBE.

a = 3.294 Å, b = 3.297 Å, c = 10.198 Å
α = 90.00°, β = 90.80°, γ = 90.00°
Sites, in units of the cell vectors:
Bi  0.236  0.250  0.658
Bi  0.764  0.750  0.342
Ga  0.753  0.750  0.069
Ga  0.247  0.250  0.931

Calculated values
electronic total energy: -3.40 eV/atom
space-group type: No. 11
density: 8.36 g/cm3
formation energy: 0.1 eV per formula unit
M_tot: 0.00 Bohr magnetons per cell